[1]
Material: LiGaHgPt
Method: DFT, PBE-GGA
State: relaxed

Lattice parameters (Å, degrees): 6.4369 6.4369 6.4369 90.00 90.00 90.00
Last column: nearest neighbours and their distance in Å.
Space group F-43m (No. 216)
Unique sites:
Li (0.0000, 0.0000, 0.0000) [4 per cell]  4 Hg 2.79, 4 Ga 2.79
Ga (0.2500, 0.2500, 0.2500) [4 per cell]  4 Li 2.79, 4 Pt 2.79
Hg (0.2500, 0.2500, 0.7500) [4 per cell]  4 Li 2.79, 4 Pt 2.79
Pt (0.0000, 0.0000, 0.5000) [4 per cell]  4 Ga 2.79, 4 Hg 2.79

Calculated values
D(E_F) ... 0.46 states/eV per atom
Formation energy ... -384 meV/atom



[2]
Material: LiGa2HgPt
Method: DFT, PBE-GGA
State: relaxed

Lattice parameters (Å, degrees): 4.8110 4.8110 4.9727 90.00 90.00 90.00
Last column: nearest neighbours and their distance in Å.
Space group P4/mmm (No. 123)
Unique sites:
Li (0.0000, 0.0000, 0.0000) [1 per cell]  2 Pt 2.49
Ga (0.0000, 0.5000, 0.5000) [2 per cell]  2 Pt 2.41
Hg (0.5000, 0.5000, 0.0000) [1 per cell]  4 Li 3.40, 8 Ga 3.46
Pt (0.0000, 0.0000, 0.5000) [1 per cell]  4 Ga 2.41, 2 Li 2.49

Calculated values
D(E_F) ... 0.46 states/eV per atom
Formation energy ... -310 meV/atom



[3]
Material: RbLiGaHg2
Method: DFT, PBE-GGA
State: relaxed

Lattice parameters (Å, degrees): 5.4319 5.4319 5.3498 90.00 90.00 90.00
Last column: nearest neighbours and their distance in Å.
Space group P4/mmm (No. 123)
Unique sites:
Rb (0.0000, 0.0000, 0.0000) [1 per cell]  8 Hg 3.81, 4 Li 3.84
Li (0.5000, 0.5000, 0.0000) [1 per cell]  2 Ga 2.67
Ga (0.5000, 0.5000, 0.5000) [1 per cell]  2 Li 2.67, 4 Hg 2.72
Hg (0.0000, 0.5000, 0.5000) [2 per cell]  2 Ga 2.72

Calculated values
D(E_F) ... 0.29 states/eV per atom
Formation energy ... -126 meV/atom



[4]
Material: LiGaHgRu2
Method: DFT, PBE-GGA
State: relaxed

Lattice parameters (Å, degrees): 4.3105 4.3105 4.3815 90.00 90.00 90.00
Last column: nearest neighbours and their distance in Å.
Space group P4/mmm (No. 123)
Unique sites:
Li (0.0000, 0.0000, 0.0000) [1 per cell]  4 Ru 2.16, 2 Hg 2.19
Ga (0.5000, 0.5000, 0.5000) [1 per cell]  4 Hg 3.05, 8 Ru 3.07
Hg (0.0000, 0.0000, 0.5000) [1 per cell]  2 Li 2.19
Ru (0.0000, 0.5000, 0.0000) [2 per cell]  2 Li 2.16

Calculated values
D(E_F) ... 0.88 states/eV per atom
Formation energy ... 919 meV/atom



| no. | theoretical density (g cm⁻³) | V (Å³/cell) |
| --- | --- | --- |
| 1 | 11.76 | 266.7 |
| 2 | 7.82 | 115.1 |
| 3 | 5.93 | 157.8 |
| 4 | 9.78 | 81.4 |